(1)
The following is a PBEsol calculation of Ca2SnGe2 after structural relaxation, from the Alexandria database.

Properties
The value obtained for the energy of formation from the pure elements is -0.61 eV per atom. The calculation puts the mass density at 4.811 g/cm³. The energy is -0.31552 Ry/atom.

Lattice parameters (Å, degrees): 7.3387 7.3387 4.4115 90.00 90.00 90.00
Last column: nearest neighbours and their distance in Å.
Space group P4/mbm (No. 127)
Symmetry-distinct sites (fractional):
Ca 0.1767 0.3233 0.0000 [4 per cell]  6 Ge 3.05-3.13
Sn 0.0000 0.0000 0.5000 [2 per cell]  4 Ge 2.92
Ge 0.1202 0.6202 0.5000 [4 per cell]  1 Ge 2.50



(2)
The following is a PBEsol calculation of SrCaGe after structural relaxation, from the Alexandria database.

Properties
The value obtained for the energy of formation from the pure elements is -0.64 eV per atom. The calculation puts the mass density at 3.743 g/cm³. The energy is -0.26517 Ry/atom.

Lattice parameters (Å, degrees): 8.0093 4.9006 9.0566 90.00 90.00 90.00
Last column: nearest neighbours and their distance in Å.
Space group Pnma (No. 62)
Symmetry-distinct sites (fractional):
Sr 0.0215 0.2500 0.1798 [4 per cell]  5 Ge 3.25-3.56, 2 Ca 3.58
Ca 0.1489 0.2500 0.5743 [4 per cell]  4 Ge 3.02-3.07
Ge 0.2333 0.7500 0.3944 [4 per cell]  4 Ca 3.02-3.07, 1 Sr 3.25



(3)
The following is a PBEsol calculation of CaTc2Ge2 after structural relaxation, from the Alexandria database.

Properties
The value obtained for the energy of formation from the pure elements is -0.28 eV per atom. The calculation puts the mass density at 7.136 g/cm³. The energy is -0.52869 Ry/atom.

Lattice parameters (Å, degrees): 4.0393 4.0393 10.8777 90.00 90.00 90.00
Last column: nearest neighbours and their distance in Å.
Space group I4/mmm (No. 139)
Symmetry-distinct sites (fractional):
Ca 0.0000 0.0000 0.0000 [2 per cell]  8 Ge 3.13, 8 Tc 3.39
Tc 0.0000 0.5000 0.2500 [4 per cell]  4 Ge 2.48
Ge 0.0000 0.0000 0.3826 [4 per cell]  4 Tc 2.48, 1 Ge 2.55



Please write out number 1 again, unchanged.
The following is a PBEsol calculation of Ca2SnGe2 after structural relaxation, from the Alexandria database.

Properties
The value obtained for the energy of formation from the pure elements is -0.61 eV per atom. The calculation puts the mass density at 4.811 g/cm³. The energy is -0.31552 Ry/atom.

Lattice parameters (Å, degrees): 7.3387 7.3387 4.4115 90.00 90.00 90.00
Last column: nearest neighbours and their distance in Å.
Space group P4/mbm (No. 127)
Symmetry-distinct sites (fractional):
Ca 0.1767 0.3233 0.0000 [4 per cell]  6 Ge 3.05-3.13
Sn 0.0000 0.0000 0.5000 [2 per cell]  4 Ge 2.92
Ge 0.1202 0.6202 0.5000 [4 per cell]  1 Ge 2.50